# 1
# HoInPO

A geometry-optimized HoInPO structure (GGA-PBE, OQMD via LeMat-Bulk).

```
data_HoInPO
_space_group_name_H-M_alt 'P 1'
_space_group_IT_number 1
_space_group_name_Hall 'P 1'
_cell_length_a 4.327
_cell_length_b 4.327
_cell_length_c 8.194
_cell_angle_alpha 90.00
_cell_angle_beta 90.00
_cell_angle_gamma 90.00
loop_
_atom_site_label
_atom_site_type_symbol
_atom_site_fract_x
_atom_site_fract_y
_atom_site_fract_z
In1 In 0.500 0.500 0.500
In2 In 0.000 0.000 0.500
P1 P 0.000 0.500 0.695
P2 P 0.500 0.000 0.305
O1 O 0.500 0.500 0.000
O2 O 0.000 0.000 0.000
Ho1 Ho 0.500 0.000 0.904
Ho2 Ho 0.000 0.500 0.096
```

Values from the calculation:
**Space group**: P4/nmm
**DFT total energy**: -5.8386 eV/atom
**Size of the total moment**: 0.01 μB per formula unit
**Relative energy among the computed polymorphs**: 0 meV/atom

# 2
# HoZnInO3

A geometry-optimized HoZnInO3 structure (GGA-PBE, OQMD via LeMat-Bulk).

```
data_HoZnInO3
_space_group_name_H-M_alt 'P 1'
_space_group_IT_number 1
_space_group_name_Hall 'P 1'
_cell_length_a 3.146
_cell_length_b 6.606
_cell_length_c 8.511
_cell_angle_alpha 90.00
_cell_angle_beta 79.35
_cell_angle_gamma 90.00
loop_
_atom_site_label
_atom_site_type_symbol
_atom_site_fract_x
_atom_site_fract_y
_atom_site_fract_z
In1 In 0.684 0.750 0.631
In2 In 0.316 0.250 0.369
Zn1 Zn 0.376 0.750 0.248
Zn2 Zn 0.624 0.250 0.752
O1 O 0.876 0.039 0.249
O2 O 0.124 0.539 0.751
O3 O 0.734 0.250 0.532
O4 O 0.124 0.961 0.751
O5 O 0.266 0.750 0.468
O6 O 0.876 0.461 0.249
Ho1 Ho 0.000 0.000 0.000
Ho2 Ho 0.000 0.500 0.000
```

Values from the calculation:
**Space group**: Cmcm
**DFT total energy**: -5.2088 eV/atom
**Size of the total moment**: 0.00 μB per formula unit

# 3
# Ho2Tm2In5Os2

A geometry-optimized Ho2Tm2In5Os2 structure (GGA-PBE, OQMD via LeMat-Bulk).

```
data_Ho2Tm2In5Os2
_space_group_name_H-M_alt 'P 1'
_space_group_IT_number 1
_space_group_name_Hall 'P 1'
_cell_length_a 7.723
_cell_length_b 3.543
_cell_length_c 9.640
_cell_angle_alpha 90.00
_cell_angle_beta 93.79
_cell_angle_gamma 90.00
loop_
_atom_site_label
_atom_site_type_symbol
_atom_site_fract_x
_atom_site_fract_y
_atom_site_fract_z
In1 In 0.948 0.000 0.673
In2 In 0.675 0.000 0.154
In3 In 0.000 0.000 0.000
In4 In 0.052 0.000 0.327
In5 In 0.325 0.000 0.846
Os1 Os 0.571 0.000 0.638
Os2 Os 0.429 0.000 0.362
Ho1 Ho 0.327 0.500 0.149
Ho2 Ho 0.673 0.500 0.851
Tm1 Tm 0.284 0.500 0.556
Tm2 Tm 0.716 0.500 0.444
```

Values from the calculation:
**Space group**: P2/m
**DFT total energy**: -5.2537 eV/atom
**Size of the total moment**: 0.01 μB per formula unit

# 4
# Ho2InP2

A geometry-optimized Ho2InP2 structure (GGA-PBE, OQMD via LeMat-Bulk).

```
data_Ho2InP2
_space_group_name_H-M_alt 'P 1'
_space_group_IT_number 1
_space_group_name_Hall 'P 1'
_cell_length_a 8.640
_cell_length_b 8.638
_cell_length_c 3.663
_cell_angle_alpha 77.79
_cell_angle_beta 77.73
_cell_angle_gamma 24.48
loop_
_atom_site_label
_atom_site_type_symbol
_atom_site_fract_x
_atom_site_fract_y
_atom_site_fract_z
Ho1 Ho 0.379 0.379 0.621
Ho2 Ho 0.621 0.621 0.379
P1 P 0.750 0.750 0.750
P2 P 0.250 0.250 0.250
In1 In 0.000 0.000 0.000
```

Values from the calculation:
**Space group**: Fmmm
**DFT total energy**: -5.2497 eV/atom
**Size of the total moment**: 0.00 μB per formula unit